Entry 1:
TaSi2Cl: optimized geometry, PBE.

Properties
ΔE_f (raw): -0.20 eV/f.u.
E: -24.74 eV for the cell shown
symmetry: P4mm
excess energy over the best structure of this formula in the dataset: 0 meV per atom

Cell: 3.157 3.157 7.959 Å, 90.00 90.00 90.00°
Atoms (fractional coordinates):
Ta  0.000  0.000  0.000
Si  0.000  0.000  0.663
Si  0.500  0.500  0.813
Cl  0.500  0.500  0.210


Entry 2:
TaSiCl: optimized geometry, PBE.

Properties
ΔE_f (raw): 0.04 eV/f.u.
E: -19.09 eV for the cell shown
symmetry: I4mm

Cell: 7.352 7.352 7.352 Å, 157.33 157.33 32.27°
Atoms (fractional coordinates):
Ta  0.000  0.000  0.000
Si  0.357  0.357  0.000
Cl  0.618  0.618  0.000


Entry 3:
TaSi2Cl: optimized geometry, PBE.

Properties
ΔE_f (raw): 2.26 eV/f.u.
E: -22.29 eV for the cell shown
symmetry: F-43m
excess energy over the best structure of this formula in the dataset: 613 meV per atom

Cell: 4.509 4.509 4.509 Å, 60.00 60.00 60.00°
Atoms (fractional coordinates):
Ta  0.000  0.000  0.000
Si  0.250  0.250  0.250
Si  0.500  0.500  0.500
Cl  0.750  0.750  0.750


Entry 4:
TaSi4Cl: optimized geometry, PBE.

Properties
ΔE_f (raw): 2.44 eV/f.u.
E: -32.95 eV for the cell shown
symmetry: F-43m

Cell: 5.085 5.085 5.085 Å, 60.00 60.00 60.00°
Atoms (fractional coordinates):
Ta  0.000  0.000  0.000
Si  0.378  0.378  0.378
Si  0.378  0.378  0.866
Si  0.378  0.866  0.378
Si  0.866  0.378  0.378
Cl  0.750  0.750  0.750


Entry 5:
TaSiCl3: optimized geometry, PBE.

Properties
ΔE_f (raw): 3.80 eV/f.u.
E: -19.01 eV for the cell shown
symmetry: Pm-3m
excess energy over the best structure of this formula in the dataset: 560 meV per atom

Cell: 4.984 4.984 4.984 Å, 90.00 90.00 90.00°
Atoms (fractional coordinates):
Ta  0.000  0.000  0.000
Si  0.500  0.500  0.500
Cl  0.000  0.500  0.500
Cl  0.500  0.000  0.500
Cl  0.500  0.500  0.000


Entry 6:
TaSiCl: optimized geometry, PBE.

Properties
ΔE_f (raw): -0.04 eV/f.u.
E: -19.17 eV for the cell shown
symmetry: Fmm2

Cell: 7.700 7.588 2.905 Å, 81.22 76.89 21.89°
Atoms (fractional coordinates):
Ta  0.000  0.000  0.000
Si  0.364  0.364  0.636
Cl  0.621  0.621  0.379


Entry 7:
TaSiCl: optimized geometry, PBE.

Properties
ΔE_f (raw): 2.71 eV/f.u.
E: -16.41 eV for the cell shown
symmetry: F-43m

Cell: 4.441 4.441 4.441 Å, 60.00 60.00 60.00°
Atoms (fractional coordinates):
Ta  0.000  0.000  0.000
Si  0.750  0.750  0.750
Cl  0.500  0.500  0.500


Entry 8:
TaSiCl3: optimized geometry, PBE.

Properties
ΔE_f (raw): 1.00 eV/f.u.
E: -21.81 eV for the cell shown
symmetry: Pm-3m
excess energy over the best structure of this formula in the dataset: 0 meV per atom

Cell: 4.890 4.890 4.890 Å, 90.00 90.00 90.00°
Atoms (fractional coordinates):
Ta  0.000  0.000  0.000
Si  0.500  0.500  0.500
Cl  0.000  0.000  0.500
Cl  0.000  0.500  0.000
Cl  0.500  0.000  0.000


Entry 9:
TaSi2Cl: optimized geometry, PBE.

Properties
ΔE_f (raw): 0.76 eV/f.u.
E: -23.78 eV for the cell shown
symmetry: Pm
excess energy over the best structure of this formula in the dataset: 241 meV per atom

Cell: 2.900 4.631 5.163 Å, 90.00 106.20 90.00°
Atoms (fractional coordinates):
Ta  0.000  0.000  0.000
Si  0.430  0.500  0.860
Si  0.738  0.000  0.481
Cl  0.198  0.500  0.395


Entry 10:
TaSiCl4: optimized geometry, PBE.

Properties
ΔE_f (raw): 7.19 eV/f.u.
E: -17.48 eV for the cell shown
symmetry: F-43m

Cell: 5.556 5.556 5.556 Å, 60.00 60.00 60.00°
Atoms (fractional coordinates):
Ta  0.000  0.000  0.000
Si  0.250  0.250  0.250
Cl  0.122  0.626  0.626
Cl  0.626  0.122  0.626
Cl  0.626  0.626  0.122
Cl  0.626  0.626  0.626


Entry 11:
TaSi2Cl: optimized geometry, PBE.

Properties
ΔE_f (raw): 0.83 eV/f.u.
E: -23.71 eV for the cell shown
symmetry: Cm
excess energy over the best structure of this formula in the dataset: 258 meV per atom

Cell: 5.722 5.722 5.071 Å, 116.21 116.21 28.18°
Atoms (fractional coordinates):
Ta  0.000  0.000  0.000
Si  0.464  0.464  0.464
Si  0.730  0.730  0.231
Cl  0.286  0.286  0.787


Entry 12:
TaSi2Cl: optimized geometry, PBE.

Properties
ΔE_f (raw): 0.83 eV/f.u.
E: -23.71 eV for the cell shown
symmetry: Cmmm
excess energy over the best structure of this formula in the dataset: 258 meV per atom

Cell: 2.997 2.997 7.855 Å, 90.00 90.00 103.51°
Atoms (fractional coordinates):
Ta  0.000  0.000  0.000
Si  0.500  0.500  0.233
Si  0.500  0.500  0.767
Cl  0.000  0.000  0.500